[1]
VASP calculation (GGA-PBE) on a geometry-optimized KRbHI3 structure.

Structure (POSCAR):
```
KRbHI3
1.0
2.586 -8.896 0.000
2.586 8.896 0.000
0.000 0.000 11.786
K Rb H I
2 2 2 6
Cartesian
0.000 0.000 0.000
0.000 0.000 5.893
2.586 4.204 8.839
2.586 -4.204 2.946
2.586 2.331 2.946
2.586 -2.331 8.839
2.586 7.166 2.946
2.586 2.424 1.021
2.586 2.424 4.872
2.586 -2.424 6.914
2.586 -2.424 10.765
2.586 -7.166 8.839
```

final energy	-0.0972	Ha/atom
space-group type	Cmcm (63)

[2]
VASP calculation (GGA-PBE) on a geometry-optimized PmPPt structure.

Structure (POSCAR):
```
PmPPt
1.0
4.177 0.000 0.000
-2.089 3.618 0.000
0.000 0.000 4.015
Pm P Pt
1 1 1
Cartesian
0.000 0.000 0.000
0.000 2.412 2.019
2.089 1.206 1.998
```

final energy	-0.2482	Ha/atom
space-group type	P3m1 (156)
offset from the most stable computed form	0	meV per atom
E_form	-1354	meV/atom

Among the records above, which one has the lowest final energy?
PmPPt